(1)
First-principles (PBE-GGA) data for a geometry-optimized NaRu2Rh2 structure, as listed in the Alexandria database.

Calculated values
Calculated formation energy ... 0.250 eV per atom
DOS at the Fermi energy ... 6.38 states/eV/f.u.
Excess energy over the best structure of this formula in the dataset ... 0 meV/atom

Cell: 7.6696 7.6696 2.7066 Å, 90.00 90.00 90.00°
Space group P4/mbm (No. 127)
Unique sites:
1 Na 0.0000 0.0000 0.0000 (multiplicity 2)
2 Ru 0.1176 0.3824 0.0000 (multiplicity 4)
3 Rh 0.1748 0.6748 0.5000 (multiplicity 4)


(2)
First-principles (PBE-GGA) data for a geometry-optimized NaRu2Rh2 structure, as listed in the Alexandria database.

Calculated values
Calculated formation energy ... 0.308 eV per atom
DOS at the Fermi energy ... 6.81 states/eV/f.u.
Excess energy over the best structure of this formula in the dataset ... 58 meV/atom

Cell: 7.6978 7.6978 2.6856 Å, 90.00 90.00 90.00°
Space group P4/mbm (No. 127)
Unique sites:
1 Na 0.0000 0.0000 0.0000 (multiplicity 2)
2 Ru 0.1727 0.3273 0.5000 (multiplicity 4)
3 Rh 0.1212 0.6212 0.0000 (multiplicity 4)


(3)
First-principles (PBE-GGA) data for a geometry-optimized NaRuRh2 structure, as listed in the Alexandria database.

Calculated values
Calculated formation energy ... 0.528 eV per atom
DOS at the Fermi energy ... 5.48 states/eV/f.u.
Excess energy over the best structure of this formula in the dataset ... 0 meV/atom

Cell: 6.2456 6.2456 6.2456 Å, 90.00 90.00 90.00°
Space group Fm-3m (No. 225)
Unique sites:
1 Na 0.0000 0.0000 0.0000 (multiplicity 4)
2 Ru 0.0000 0.0000 0.5000 (multiplicity 4)
3 Rh 0.2500 0.2500 0.2500 (multiplicity 8)


(4)
First-principles (PBE-GGA) data for a geometry-optimized NaRu2Rh structure, as listed in the Alexandria database.

Calculated values
Calculated formation energy ... 0.953 eV per atom
DOS at the Fermi energy ... 7.76 states/eV/f.u.
Excess energy over the best structure of this formula in the dataset ... 131 meV/atom

Cell: 7.4399 7.4399 5.0465 Å, 90.00 90.00 90.00°
Space group I-42d (No. 122)
Unique sites:
1 Na 0.0000 0.0000 0.0000 (multiplicity 4)
2 Ru 0.1970 0.2500 0.6250 (multiplicity 8)
3 Rh 0.0000 0.0000 0.5000 (multiplicity 4)


(5)
First-principles (PBE-GGA) data for a geometry-optimized Na3RuRh structure, as listed in the Alexandria database.

Calculated values
Calculated formation energy ... 1.600 eV per atom
DOS at the Fermi energy ... 12.60 states/eV/f.u.

Cell: 5.2551 5.2551 5.2551 Å, 90.00 90.00 90.00°
Space group Pm-3m (No. 221)
Unique sites:
1 Na 0.0000 0.0000 0.5000 (multiplicity 3)
2 Ru 0.0000 0.0000 0.0000 (multiplicity 1)
3 Rh 0.5000 0.5000 0.5000 (multiplicity 1)


(6)
First-principles (PBE-GGA) data for a geometry-optimized Na2RuRh structure, as listed in the Alexandria database.

Calculated values
Calculated formation energy ... 1.087 eV per atom
DOS at the Fermi energy ... 8.81 states/eV/f.u.
Excess energy over the best structure of this formula in the dataset ... 63 meV/atom

Cell: 6.5871 6.5871 6.5871 Å, 90.00 90.00 90.00°
Space group Fm-3m (No. 225)
Unique sites:
1 Na 0.2500 0.2500 0.2500 (multiplicity 8)
2 Ru 0.0000 0.0000 0.0000 (multiplicity 4)
3 Rh 0.0000 0.0000 0.5000 (multiplicity 4)


(7)
First-principles (PBE-GGA) data for a geometry-optimized NaRuRh3 structure, as listed in the Alexandria database.

Calculated values
Calculated formation energy ... 1.985 eV per atom
DOS at the Fermi energy ... 12.10 states/eV/f.u.
Excess energy over the best structure of this formula in the dataset ... 983 meV/atom

Cell: 4.3770 4.3770 4.3770 Å, 90.00 90.00 90.00°
Space group Pm-3m (No. 221)
Unique sites:
1 Na 0.0000 0.0000 0.0000 (multiplicity 1)
2 Ru 0.5000 0.5000 0.5000 (multiplicity 1)
3 Rh 0.0000 0.0000 0.5000 (multiplicity 3)


(8)
First-principles (PBE-GGA) data for a geometry-optimized NaRu2Rh structure, as listed in the Alexandria database.

Calculated values
Calculated formation energy ... 0.822 eV per atom
DOS at the Fermi energy ... 7.87 states/eV/f.u.
Excess energy over the best structure of this formula in the dataset ... 0 meV/atom

Cell: 6.1983 6.1983 6.1983 Å, 90.00 90.00 90.00°
Space group Fm-3m (No. 225)
Unique sites:
1 Na 0.0000 0.0000 0.0000 (multiplicity 4)
2 Ru 0.2500 0.2500 0.2500 (multiplicity 8)
3 Rh 0.0000 0.0000 0.5000 (multiplicity 4)